No. 1
{"formula": "CaAcNd2Hg4", "functional": "PBE", "state": "relaxed", "cell": [[2.7216, 1.5713, 9.1364], [-2.7216, 1.5713, 9.1364], [0.0000, -3.1426, 9.1364]], "species": ["Ca", "Ac", "Nd", "Nd", "Hg", "Hg", "Hg", "Hg"], "fractional_positions": [[0.0000, 0.0000, 0.0000], [0.5000, 0.5000, 0.5000], [0.2547, 0.2547, 0.2547], [0.7453, 0.7453, 0.7453], [0.1196, 0.1196, 0.1196], [0.3732, 0.3732, 0.3732], [0.6268, 0.6268, 0.6268], [0.8804, 0.8804, 0.8804]], "delta_e_f_ev_per_atom": -0.494}



No. 2
{"formula": "Li2Cd5Pd", "functional": "PBE", "state": "relaxed", "cell": [[-3.7131, 3.7131, 5.4575], [3.7131, -3.7131, 5.4575], [3.7131, 3.7131, -5.4575]], "species": ["Li", "Li", "Li", "Li", "Cd", "Cd", "Cd", "Cd", "Cd", "Cd", "Cd", "Cd", "Cd", "Cd", "Pd", "Pd"], "fractional_positions": [[0.1444, 0.6444, 0.7888], [0.3556, 0.1444, 0.5000], [0.6444, 0.8556, 0.5000], [0.8556, 0.3556, 0.2112], [0.0000, 0.0000, 0.0000], [0.0067, 0.8091, 0.5000], [0.1909, 0.6909, 0.1976], [0.3091, 0.5067, 0.5000], [0.4933, 0.9933, 0.8024], [0.5000, 0.5000, 0.0000], [0.5067, 0.0067, 0.1976], [0.6909, 0.4933, 0.5000], [0.8091, 0.3091, 0.8024], [0.9933, 0.1909, 0.5000], [0.2500, 0.2500, 0.0000], [0.7500, 0.7500, 0.0000]], "delta_e_f_ev_per_atom": -0.204}



No. 3
{"formula": "RbIn2SnO", "functional": "PBE", "state": "relaxed", "cell": [[6.3238, 0.0000, 0.0000], [0.0000, 6.3238, 0.0000], [0.0000, 0.0000, 4.4207]], "species": ["Rb", "In", "In", "Sn", "O"], "fractional_positions": [[0.0000, 0.0000, 0.0000], [0.0000, 0.5000, 0.0000], [0.5000, 0.0000, 0.0000], [0.5000, 0.5000, 0.5000], [0.0000, 0.0000, 0.5000]], "total_energy_ev_per_atom": -2.495}



No. 4
{"formula": "Mn2NiPt", "functional": "PBE", "state": "relaxed", "cell": [[2.6004, 0.0000, 0.0000], [0.0000, 3.6791, 0.0000], [0.0000, 0.0000, 5.0830]], "species": ["Mn", "Mn", "Ni", "Pt"], "fractional_positions": [[0.0000, 0.0000, 0.2129], [0.0000, 0.0000, 0.7871], [0.5000, 0.5000, 0.0000], [0.5000, 0.5000, 0.5000]], "delta_e_f_ev_per_atom": 0.001}



No. 5
{"formula": "La3YTe6", "functional": "PBE", "state": "relaxed", "cell": [[7.5381, 0.0000, 0.0000], [0.0000, 8.4503, 0.0000], [-7.1448, 0.0000, 11.4138]], "species": ["La", "La", "La", "La", "La", "La", "Y", "Y", "Te", "Te", "Te", "Te", "Te", "Te", "Te", "Te", "Te", "Te", "Te", "Te"], "fractional_positions": [[0.0000, 0.0000, 0.0000], [0.0000, 0.5000, 0.5000], [0.3060, 0.1156, 0.7561], [0.3060, 0.3844, 0.2561], [0.6940, 0.6156, 0.7439], [0.6940, 0.8844, 0.2439], [0.5000, 0.0000, 0.5000], [0.5000, 0.5000, 0.0000], [0.0964, 0.0544, 0.2586], [0.0964, 0.4456, 0.7586], [0.2484, 0.6743, 0.0809], [0.2484, 0.8257, 0.5809], [0.4182, 0.1818, 0.0754], [0.4182, 0.3182, 0.5754], [0.5818, 0.6818, 0.4246], [0.5818, 0.8182, 0.9246], [0.7516, 0.1743, 0.4191], [0.7516, 0.3257, 0.9191], [0.9036, 0.5544, 0.2414], [0.9036, 0.9456, 0.7414]], "relative_energy_ev_per_fu": 0.00}



No. 6
{"formula": "Na3Nd5S8", "functional": "PBE", "state": "relaxed", "cell": [[4.0858, 2.3589, 6.6679], [-4.0858, 2.3589, 6.6679], [0.0000, -4.7178, 6.6679]], "species": ["Na", "Na", "Na", "Nd", "Nd", "Nd", "Nd", "Nd", "S", "S", "S", "S", "S", "S", "S", "S"], "fractional_positions": [[0.0000, 0.5000, 0.5000], [0.5000, 0.0000, 0.5000], [0.5000, 0.5000, 0.0000], [0.0000, 0.0000, 0.0000], [0.0000, 0.0000, 0.5000], [0.0000, 0.5000, 0.0000], [0.5000, 0.0000, 0.0000], [0.5000, 0.5000, 0.5000], [0.2458, 0.2458, 0.2458], [0.2471, 0.7501, 0.7501], [0.2499, 0.2499, 0.7529], [0.2499, 0.7529, 0.2499], [0.7501, 0.2471, 0.7501], [0.7501, 0.7501, 0.2471], [0.7529, 0.2499, 0.2499], [0.7542, 0.7542, 0.7542]], "total_energy_ev_per_atom": -5.649}



No. 7
{"formula": "Nd3PaSn12", "functional": "PBE", "state": "relaxed", "cell": [[4.7534, 0.0000, 0.0000], [0.0000, 4.7534, 0.0000], [0.0000, 0.0000, 18.8227]], "species": ["Nd", "Nd", "Nd", "Pa", "Sn", "Sn", "Sn", "Sn", "Sn", "Sn", "Sn", "Sn", "Sn", "Sn", "Sn", "Sn"], "fractional_positions": [[0.0000, 0.0000, 0.0000], [0.0000, 0.0000, 0.2560], [0.0000, 0.0000, 0.7440], [0.0000, 0.0000, 0.5000], [0.0000, 0.5000, 0.1270], [0.0000, 0.5000, 0.3795], [0.0000, 0.5000, 0.6205], [0.0000, 0.5000, 0.8730], [0.5000, 0.0000, 0.1270], [0.5000, 0.0000, 0.3795], [0.5000, 0.0000, 0.6205], [0.5000, 0.0000, 0.8730], [0.5000, 0.5000, 0.0000], [0.5000, 0.5000, 0.2512], [0.5000, 0.5000, 0.5000], [0.5000, 0.5000, 0.7488]], "delta_e_f_ev_per_atom": -0.445}



No. 8
{"formula": "FeSi2B", "functional": "PBE", "state": "relaxed", "cell": [[-3.4131, 3.4131, 2.0888], [3.4131, -3.4131, 2.0888], [3.4131, 3.4131, -2.0888]], "species": ["Fe", "Fe", "Si", "Si", "Si", "Si", "B", "B"], "fractional_positions": [[0.0000, 0.0000, 0.0000], [0.7500, 0.2500, 0.5000], [0.2206, 0.6250, 0.0956], [0.3750, 0.4706, 0.5956], [0.5294, 0.1250, 0.9044], [0.8750, 0.7794, 0.4044], [0.2500, 0.7500, 0.5000], [0.5000, 0.5000, 0.0000]], "total_energy_ev_per_atom": -6.156}



No. 9
{"formula": "AlFeCu2", "functional": "PBE", "state": "relaxed", "cell": [[-1.8972, 1.8972, 3.4472], [1.8972, -1.8972, 3.4472], [1.8972, 1.8972, -3.4472]], "species": ["Al", "Fe", "Cu", "Cu"], "fractional_positions": [[0.0000, 0.0000, 0.0000], [0.7500, 0.2500, 0.5000], [0.2500, 0.7500, 0.5000], [0.5000, 0.5000, 0.0000]], "delta_e_f_ev_per_atom": -0.044}



No. 10
{"formula": "Fe2SiSe", "functional": "PBE", "state": "relaxed", "cell": [[1.4055, 0.8115, 7.2651], [-1.4055, 0.8115, 7.2651], [0.0000, -1.6230, 7.2651]], "species": ["Fe", "Fe", "Si", "Se"], "fractional_positions": [[0.2484, 0.2484, 0.2484], [0.7516, 0.7516, 0.7516], [0.5000, 0.5000, 0.5000], [0.0000, 0.0000, 0.0000]], "relative_energy_ev_per_fu": 0.55}



No. 11
{"formula": "MgTaOs2", "functional": "PBE", "state": "relaxed", "cell": [[4.4324, 0.0000, 0.0000], [0.0000, 4.4324, 0.0000], [0.0000, 0.0000, 3.1709]], "species": ["Mg", "Ta", "Os", "Os"], "fractional_positions": [[0.0000, 0.0000, 0.0000], [0.5000, 0.5000, 0.0000], [0.0000, 0.5000, 0.5000], [0.5000, 0.0000, 0.5000]], "delta_e_f_ev_per_atom": -0.122}



No. 12
{"formula": "Zr6Te7", "functional": "PBE", "state": "relaxed", "cell": [[3.0907, 1.7844, 10.5856], [-3.0907, 1.7844, 10.5856], [0.0000, -3.5688, 10.5856]], "species": ["Zr", "Zr", "Zr", "Zr", "Zr", "Zr", "Te", "Te", "Te", "Te", "Te", "Te", "Te"], "fractional_positions": [[0.0454, 0.0454, 0.0454], [0.1435, 0.1435, 0.1435], [0.3340, 0.3340, 0.3340], [0.6660, 0.6660, 0.6660], [0.8565, 0.8565, 0.8565], [0.9546, 0.9546, 0.9546], [0.0707, 0.5762, 0.5762], [0.4238, 0.4238, 0.9293], [0.4238, 0.9293, 0.4238], [0.5000, 0.5000, 0.5000], [0.5762, 0.0707, 0.5762], [0.5762, 0.5762, 0.0707], [0.9293, 0.4238, 0.4238]], "total_energy_ev_per_atom": -5.575}



Size of the total moment readings, ordered: 0.0; 0.0; 0.5; 1.3; 0.0; 0.0; 0.0; 4.8; 2.1; 0.6; 0.0; 3.3 Bohr magnetons per cell